## NaZnSn2 (PBE-GGA)

Data for NaZnSn2 after structural relaxation.

```
NaZnSn2
1.0
-3.9045 -1.0371 -2.0706
-1.5452 -1.8565 3.8437
-6.5990 7.5613 3.6802
Na Zn Sn
2 2 4
direct
0.5000 0.5000 0.0000 Na
0.2500 0.7500 0.5000 Na
0.0000 0.0000 0.0000 Zn
0.7500 0.2500 0.5000 Zn
0.6435 0.1250 0.2500 Sn
0.1065 0.6250 0.2500 Sn
0.3750 0.3565 0.7500 Sn
0.8750 0.8935 0.7500 Sn
```

D(E_F) = 1.48 states/eV/f.u.
E = -20.7 eV per cell
ΔE_f = 0.07 eV per atom



## Tm5RuPb3 (PBE-GGA)

Data for Tm5RuPb3 after structural relaxation.

```
Tm5RuPb3
1.0
6.4592 0.0000 0.0000
0.0000 7.9858 -4.6106
0.0000 0.0000 9.2212
Tm Ru Pb
10 2 6
direct
0.0000 0.3333 0.6667 Tm
0.5000 0.6667 0.3333 Tm
0.0000 0.6667 0.3333 Tm
0.5000 0.3333 0.6667 Tm
0.7500 0.7630 0.0000 Tm
0.7500 0.2370 0.2370 Tm
0.7500 0.0000 0.7630 Tm
0.2500 0.2370 0.0000 Tm
0.2500 0.7630 0.7630 Tm
0.2500 0.0000 0.2370 Tm
0.0000 0.0000 0.0000 Ru
0.5000 0.0000 0.0000 Ru
0.7500 0.4021 0.0000 Pb
0.7500 0.5979 0.5979 Pb
0.7500 0.0000 0.4021 Pb
0.2500 0.5979 0.0000 Pb
0.2500 0.4021 0.4021 Pb
0.2500 0.0000 0.5979 Pb
```

D(E_F) = 4.84 states/eV/f.u.
E = -94.3 eV per cell
ΔE_f = -0.49 eV per atom



## SrOs3 (PBE-GGA)

Data for SrOs3 after structural relaxation.

```
SrOs3
1.0
4.3746 0.0000 0.0000
0.0000 2.8445 -0.0127
0.0000 1.4376 6.1021
Os Sr
3 1
direct
0.0000 0.9451 0.9315 Os
0.5000 0.7500 0.7500 Os
0.0000 0.5549 0.5685 Os
0.5000 0.2500 0.2500 Sr
```

D(E_F) = 6.17 states/eV/f.u.
E = -31.5 eV per cell
ΔE_f = 0.96 eV per atom



## Ba2Sn3Pt2 (PBE-GGA)

Data for Ba2Sn3Pt2 after structural relaxation.

```
Ba2Sn3Pt2
1.0
4.0899 0.0000 -0.9751
0.0000 8.5242 0.0000
0.6851 0.0000 11.9387
Ba Sn Pt
4 6 4
direct
0.1764 0.2500 0.3527 Ba
0.8236 0.7500 0.6473 Ba
0.9429 0.2500 0.8858 Ba
0.0571 0.7500 0.1142 Ba
0.2041 0.7500 0.4083 Sn
0.7959 0.2500 0.5917 Sn
0.5583 0.4176 0.1165 Sn
0.4417 0.5824 0.8835 Sn
0.4417 0.9176 0.8835 Sn
0.5583 0.0824 0.1165 Sn
0.6535 0.9160 0.3070 Pt
0.3465 0.0840 0.6930 Pt
0.3465 0.4160 0.6930 Pt
0.6535 0.5840 0.3070 Pt
```

D(E_F) = 4.19 states/eV/f.u.
E = -63.6 eV per cell
ΔE_f = -0.55 eV per atom



## CeTl2CdS4 (PBE-GGA)

Data for CeTl2CdS4 after structural relaxation.

```
CeTl2CdS4
1.0
-0.9504 -3.8536 0.9850
-2.1485 -1.3769 -7.4594
5.4871 -2.2346 -3.4480
Ce Tl Cd S
1 2 1 4
direct
0.0000 0.5000 0.5000 Ce
0.0000 0.0000 0.0000 Tl
0.5000 0.0000 0.5000 Tl
0.5000 0.5000 0.0000 Cd
0.0000 0.6965 0.7648 S
0.0000 0.3035 0.2352 S
0.5000 0.7063 0.2767 S
0.5000 0.2937 0.7233 S
```

ΔE_f (raw) = -0.94 eV per atom
E = -35.6 eV per cell



## NbGaPd5 (PBE-GGA)

Data for NbGaPd5 after structural relaxation.

```
NbGaPd5
1.0
6.6916 -1.0786 0.0072
1.1001 6.6881 0.0072
2.8837 2.0761 5.6784
Nb Ga Pd
2 2 10
direct
0.5447 0.4553 0.2500 Nb
0.4553 0.5447 0.7500 Nb
0.0000 0.0000 0.0000 Ga
0.0000 0.0000 0.5000 Ga
0.6118 0.8104 0.3101 Pd
0.1980 0.5716 0.4980 Pd
0.8104 0.6118 0.8101 Pd
0.8132 0.1868 0.2500 Pd
0.4284 0.8020 0.0020 Pd
0.5716 0.1980 0.9980 Pd
0.1868 0.8132 0.7500 Pd
0.1896 0.3882 0.1899 Pd
0.8020 0.4284 0.5020 Pd
0.3882 0.1896 0.6899 Pd
```

D(E_F) = 4.38 states/eV/f.u.
E = -79.0 eV per cell
ΔE_f = -0.06 eV per atom



## Sr2FeIr (PBE-GGA)

Data for Sr2FeIr after structural relaxation.

```
Sr2FeIr
1.0
-3.9893 0.5936 1.2978
-0.4433 -4.6148 0.7479
1.5808 -1.6345 5.6067
Fe Ir Sr
1 1 2
direct
0.0000 0.6709 0.5329 Fe
0.5000 0.5771 0.7213 Ir
0.0000 0.9841 0.9064 Sr
0.5000 0.2679 0.3394 Sr
```

D(E_F) = 6.10 states/eV/f.u.
E = -20.4 eV per cell
ΔE_f = 0.07 eV per atom



## MgTaPt6 (PBE-GGA)

Data for MgTaPt6 after structural relaxation.

```
MgTaPt6
1.0
-1.9117 0.6415 3.4406
-3.3993 -1.2737 -1.6512
1.6553 -7.3979 2.2990
Mg Ta Pt
1 1 6
direct
0.0000 0.0000 0.0000 Mg
0.0000 0.0000 0.5000 Ta
0.5000 0.5000 0.0000 Pt
0.5000 0.5000 0.5000 Pt
0.5000 0.0000 0.2552 Pt
0.5000 0.0000 0.7448 Pt
0.0000 0.5000 0.2552 Pt
0.0000 0.5000 0.7448 Pt
```

D(E_F) = 5.07 states/eV/f.u.
E = -55.6 eV per cell
ΔE_f = -0.74 eV per atom